A geometry-optimized FeS4 structure, computed with PBE.

ΔE to the lowest computed polymorph, eV/f.u.: 3.860
Formation energy without anion corrections, meV/atom: 655

a b c (Å): 4.4163 4.4163 4.4163
angles (deg): 90.00 90.00 90.00
Closest atoms and distances in Å follow each position.
Space group Pm-3m (No. 221)
Asymmetric unit:
Fe1 0.0000 0.0000 0.0000 x1  6 S 2.21
S1 0.0000 0.0000 0.5000 x3  2 Fe 2.21
S2 0.5000 0.5000 0.5000 x1  12 S 3.12